(1)
Here is a relaxed TaFeS2N crystal from Alexandria. Energies are from PBEsol.

The structure in POSCAR format:
```
TaFeS2N
1.0
4.828 0.000 0.000
0.000 4.828 0.000
0.000 0.000 3.842
Ta Fe S N
1 1 2 1
Direct
0.000 0.000 0.000
0.500 0.500 0.500
0.000 0.500 0.000
0.500 0.000 0.000
0.000 0.000 0.500
```

Energy relative to the elements, uncorrected = 0.251 eV/atom

(2)
Here is a relaxed ZnFeSN2 crystal from Alexandria. Energies are from PBEsol.

The structure in POSCAR format:
```
ZnFeSN2
1.0
3.670 0.000 0.000
0.000 3.670 0.000
0.000 0.000 5.209
Zn Fe S N
1 1 1 2
Direct
0.000 0.000 0.000
0.500 0.500 0.500
0.000 0.000 0.500
0.000 0.500 0.000
0.500 0.000 0.000
```

Energy relative to the elements, uncorrected = 1.560 eV/atom

- What is the energy relative to the elements, uncorrected in the first record?
  0.251 eV/atom